1.
## BiRhS2 (PBE)

Data for a relaxed structure of BiRhS2.

Cell and atoms, written as extended XYZ:
```
4
Lattice="3.8840 0.0000 0.0000 0.0000 3.8840 0.0000 0.0000 0.0000 5.3562" Properties=species:S:1:pos:R:3 pbc="T T T"
Bi 1.9420 1.9420 0.0000
Rh 0.0000 0.0000 2.6781
S 1.9420 1.9420 2.6781
S 0.0000 0.0000 0.0000
```

## Properties
Raw total energy (eV/atom): -4.73
E_form (uncorrected) (eV/atom): 0.143
DOS at the Fermi energy (states/eV/cell): 2.9

2.
## BiRhS2 (PBE)

Data for a relaxed structure of BiRhS2.

Cell and atoms, written as extended XYZ:
```
8
Lattice="1.9195 -9.9914 0.0000 1.9195 9.9914 0.0000 0.0000 0.0000 4.4832" Properties=species:S:1:pos:R:3 pbc="T T T"
Bi 1.9195 -3.0622 3.3624
Bi 1.9195 3.0622 1.1208
S 1.9195 -6.1704 3.3624
S 1.9195 9.0479 3.3624
S 1.9195 6.1704 1.1208
S 1.9195 -9.0479 1.1208
Rh 1.9195 -8.5635 3.3624
Rh 1.9195 8.5635 1.1208
```

## Properties
Raw total energy (eV/atom): -4.96
E_form (uncorrected) (eV/atom): -0.091
DOS at the Fermi energy (states/eV/cell): 3.2

3.
## Bi3RhS (PBE)

Data for a relaxed structure of Bi3RhS.

Cell and atoms, written as extended XYZ:
```
5
Lattice="-0.8538 3.2211 -4.1015 -5.2025 -0.8162 0.4419 -0.3641 4.1092 3.3029" Properties=species:S:1:pos:R:3 pbc="T T T"
Bi -0.4269 1.6106 -2.0508
Bi -0.1821 2.0546 1.6515
Bi -2.6012 -0.4081 0.2210
Rh 0.0000 0.0000 0.0000
S -3.2102 3.2570 -0.1783
```

## Properties
Raw total energy (eV/atom): -4.20
E_form (uncorrected) (eV/atom): 0.427
E above lowest polymorph (eV/atom): 0.000
DOS at the Fermi energy (states/eV/cell): 4.1

The lowest E_form (uncorrected) belongs to which entry? number 2